La2YHo after structural relaxation. Source: Alexandria via LeMat-Bulk, functional GGA-PBE.

Cell lengths 3.715, 3.715, 9.957 Å; angles 90.00, 90.00, 90.00 degrees
Space group P4/mmm (No. 123)
Symmetry-distinct sites (fractional):
La (0.000, 0.000, 0.248) (multiplicity 2)
Y (0.500, 0.500, 0.500) (multiplicity 1)
Ho (0.500, 0.500, 0.000) (multiplicity 1)

## Properties
calculated formation energy = 0.02 eV/atom
size of the total moment = 0.000 μB per atom